This record from the Open Quantum Materials Database describes TaReAsO after structural relaxation. The functional is PBE-GGA.

CIF file:
```
data_TaReAsO
_chemical_formula_sum 'Ta2 Re2 As2 O2'
_symmetry_space_group_name_H-M 'P 4/n m m'
_symmetry_Int_Tables_number 129
_cell_length_a 3.786
_cell_length_b 3.786
_cell_length_c 7.655
_cell_angle_alpha 90.00
_cell_angle_beta 90.00
_cell_angle_gamma 90.00
loop_
_symmetry_equiv_pos_as_xyz
'x,y,z'
'-x,-y,-z'
'-y+1/2,x,z'
'y+1/2,-x,-z'
'-x+1/2,-y+1/2,z'
'x+1/2,y+1/2,-z'
'y,-x+1/2,z'
'-y,x+1/2,-z'
'x+1/2,-y,-z'
'-x+1/2,y,z'
'-y,-x,-z'
'y,x,z'
'-x,y+1/2,-z'
'x,-y+1/2,z'
'y+1/2,x+1/2,-z'
'-y+1/2,-x+1/2,z'
loop_
_atom_site_label
_atom_site_fract_x
_atom_site_fract_y
_atom_site_fract_z
Ta1 0.250 0.250 0.168
Re1 0.250 0.750 0.500
As1 0.250 0.250 0.723
O1 0.250 0.750 0.000
```

Output
Energy above the lowest structure with this stoichiometry in meV/atom: 149

---

This record from the Open Quantum Materials Database describes Ta4B3Sb after structural relaxation. The functional is PBE-GGA.

CIF file:
```
data_Ta4B3Sb
_chemical_formula_sum 'Ta8 B6 Sb2'
_symmetry_space_group_name_H-M 'P 63/m m c'
_symmetry_Int_Tables_number 194
_symmetry_space_group_name_Hall '-P 6c 2c'
_cell_length_a 3.3410
_cell_length_b 3.3410
_cell_length_c 23.5826
_cell_angle_alpha 90.00
_cell_angle_beta 90.00
_cell_angle_gamma 120.00
loop_
_atom_site_label
_atom_site_fract_x
_atom_site_fract_y
_atom_site_fract_z
Ta1 0.0000 0.0000 0.1598
Ta2 0.3333 0.6667 0.0538
B1 0.0000 0.0000 0.0000
B2 0.3333 0.6667 0.6105
Sb1 0.3333 0.6667 0.2500
```

---

This record from the Open Quantum Materials Database describes Y4ErS7 after structural relaxation. The functional is PBE-GGA.

CIF file:
```
data_Y4ErS7
_chemical_formula_sum 'Y8 Er2 S14'
_symmetry_space_group_name_H-M 'C 1 2/m 1'
_symmetry_Int_Tables_number 12
_cell_length_a 12.823
_cell_length_b 3.808
_cell_length_c 11.603
_cell_angle_alpha 90.00
_cell_angle_beta 104.58
_cell_angle_gamma 90.00
loop_
_symmetry_equiv_pos_as_xyz
'x,y,z'
'-x,-y,-z'
'-x,y,-z'
'x,-y,z'
'x+1/2,y+1/2,z'
'-x+1/2,-y+1/2,-z'
'-x+1/2,y+1/2,-z'
'x+1/2,-y+1/2,z'
loop_
_atom_site_label
_atom_site_fract_x
_atom_site_fract_y
_atom_site_fract_z
Y1 0.112 0.000 0.421
Y2 0.200 0.500 0.812
Er1 0.000 0.000 0.000
S1 0.000 0.500 0.500
S2 0.041 0.000 0.786
S3 0.157 0.500 0.051
S4 0.241 0.500 0.352
```

---

This record from the Open Quantum Materials Database describes Sc2Ge3Mo4N3 after structural relaxation. The functional is PBE-GGA.

CIF file:
```
data_Sc2Ge3Mo4N3
_chemical_formula_sum 'Sc8 Ge12 Mo16 N12'
_symmetry_space_group_name_H-M 'C 1 2/c 1'
_symmetry_Int_Tables_number 15
_cell_length_a 9.468
_cell_length_b 5.519
_cell_length_c 13.089
_cell_angle_alpha 90.00
_cell_angle_beta 103.79
_cell_angle_gamma 90.00
loop_
_symmetry_equiv_pos_as_xyz
'x,y,z'
'-x,-y,-z'
'-x,y,-z+1/2'
'x,-y,z+1/2'
'x+1/2,y+1/2,z'
'-x+1/2,-y+1/2,-z'
'-x+1/2,y+1/2,-z+1/2'
'x+1/2,-y+1/2,z+1/2'
loop_
_atom_site_label
_atom_site_fract_x
_atom_site_fract_y
_atom_site_fract_z
Sc1 0.053 0.085 0.399
Ge1 0.000 0.464 0.250
Ge2 0.189 0.107 0.749
Mo1 0.113 0.431 0.582
Mo2 0.215 0.408 0.918
N1 0.077 0.234 0.000
N2 0.250 0.250 0.500
```

---

This record from the Open Quantum Materials Database describes ErCoB after structural relaxation. The functional is PBE-GGA.

CIF file:
```
data_ErCoB
_chemical_formula_sum 'Er4 Co4 B4'
_symmetry_space_group_name_H-M 'F -4 3 m'
_symmetry_Int_Tables_number 216
_symmetry_space_group_name_Hall 'F -4 2 3'
_cell_length_a 5.947
_cell_length_b 5.947
_cell_length_c 5.947
_cell_angle_alpha 90.00
_cell_angle_beta 90.00
_cell_angle_gamma 90.00
loop_
_atom_site_label
_atom_site_fract_x
_atom_site_fract_y
_atom_site_fract_z
Er1 0.000 0.000 0.000
Co1 0.250 0.250 0.750
B1 0.250 0.250 0.250
```

Output
Energy above the lowest structure with this stoichiometry in meV/atom: 1513

---

This record from the Open Quantum Materials Database describes Cs2YTmO4 after structural relaxation. The functional is PBE-GGA.

CIF file:
```
data_Cs2YTmO4
_chemical_formula_sum 'Cs2 Y1 Tm1 O4'
_symmetry_space_group_name_H-M 'P -3 m 1'
_symmetry_Int_Tables_number 164
_symmetry_space_group_name_Hall '-P 3 2"'
_cell_length_a 3.5072
_cell_length_b 3.5072
_cell_length_c 13.5409
_cell_angle_alpha 90.00
_cell_angle_beta 90.00
_cell_angle_gamma 120.00
loop_
_atom_site_label
_atom_site_fract_x
_atom_site_fract_y
_atom_site_fract_z
Cs1 0.3333 0.6667 0.2492
Y1 0.0000 0.0000 0.5000
Tm1 0.0000 0.0000 0.0000
O1 0.3333 0.6667 0.5845
O2 0.3333 0.6667 0.9190
```

---

no.,volume (Å³ per atom),total DFT energy (no corrections) (eV/cell)
1,13.72,-71.5
2,14.25,-151.2
3,22.85,-168.5
4,13.84,-407.4
5,17.52,-60.2
6,18.03,-53.5